Entry 1:
## K2TbYTe4 (PBE)

Data for a relaxed structure of K2TbYTe4.

```
8
Lattice="-0.506 -4.385 -0.905 4.100 0.885 -6.578 5.586 -1.946 6.303" Properties=species:S:1:pos:R:3 pbc="T T T"
K 2.540 -3.165 2.699
K 4.843 -0.531 -0.138
Tb 1.797 -1.750 -3.741
Y 0.000 0.000 0.000
Te 1.880 -2.391 -0.686
Te 7.300 -3.056 -0.495
Te 5.496 -1.306 3.253
Te 4.190 0.245 -3.528
```

The value obtained for the uncorrected formation energy is -11.26 eV per formula unit. The total magnetization comes out at 0.000 μB/atom. Its space-group type is P2/m. The value obtained for the total energy is -0.171 hartree per atom.

---

Entry 2:
## AcVSi2Os (PBE)

Data for a relaxed structure of AcVSi2Os.

```
5
Lattice="-3.898 -1.412 0.477 1.053 -3.554 -1.917 2.805 0.292 5.542" Properties=species:S:1:pos:R:3 pbc="T T T"
Ac 0.000 0.000 0.000
V -1.258 -1.801 2.649
Si -1.061 -3.056 0.542
Si 1.021 -1.617 3.560
Os 1.218 -2.873 1.452
```

The value obtained for the uncorrected formation energy is -2.56 eV per formula unit. The total magnetization comes out at 0.138 μB/atom. Its space-group type is I-4m2. The value obtained for the total energy is -0.278 hartree per atom.

---

Entry 3:
## NdNbSi (PBE)

Data for a relaxed structure of NdNbSi.

```
6
Lattice="-0.239 2.445 3.197 -3.860 -1.046 0.511 4.359 -6.845 3.017" Properties=species:S:1:pos:R:3 pbc="T T T"
Si 0.534 -1.422 1.127
Si -0.274 -4.024 5.598
Nd 1.499 -3.988 3.161
Nd -1.239 -1.458 3.564
Nb -0.119 1.222 1.599
Nb -1.930 -0.523 0.256
```

The value obtained for the uncorrected formation energy is -1.63 eV per formula unit. The total magnetization comes out at 0.126 μB/atom. Its space-group type is I4/mmm. The value obtained for the total energy is -0.268 hartree per atom.

---

Entry 4:
## Tb2GaPt9 (PBE)

Data for a relaxed structure of Tb2GaPt9.

```
12
Lattice="4.092 0.000 0.000 0.000 4.092 0.000 0.000 0.000 12.099" Properties=species:S:1:pos:R:3 pbc="T T T"
Tb 0.000 0.000 3.975
Tb 0.000 0.000 8.123
Ga 0.000 0.000 0.000
Pt 2.046 2.046 0.000
Pt 2.046 2.046 3.944
Pt 2.046 2.046 8.154
Pt 2.046 0.000 1.857
Pt 2.046 0.000 6.049
Pt 2.046 0.000 10.241
Pt 0.000 2.046 1.857
Pt 0.000 2.046 6.049
Pt 0.000 2.046 10.241
```

The total magnetization comes out at 0.000 μB/atom. Its space-group type is P4/mmm. For the formation energy, the calculation gives -0.81 eV/atom. The value obtained for the total energy is -0.234 hartree per atom.

---

Entry 5:
## PmTmNi2P2 (PBE)

Data for a relaxed structure of PmTmNi2P2.

```
6
Lattice="-2.173 -0.991 3.085 2.859 -2.362 -1.212 5.045 3.678 4.735" Properties=species:S:1:pos:R:3 pbc="T T T"
Pm 0.000 0.000 0.000
Tm 2.522 1.839 2.367
Ni 4.917 0.818 3.727
Ni 0.813 -0.494 2.881
P 2.497 -0.946 1.455
P 3.234 1.271 5.153
```

The total magnetization comes out at 0.000 μB/atom. Its space-group type is P-3m1. For the formation energy, the calculation gives -1.20 eV/atom. The value obtained for the total energy is -0.238 hartree per atom.

---

Entry 6:
## AlHS (PBE)

Data for a relaxed structure of AlHS.

```
12
Lattice="6.165 0.000 0.000 0.000 6.289 -3.064 0.000 -0.348 6.480" Properties=species:S:1:pos:R:3 pbc="T T T"
Al 1.823 0.158 5.746
Al 4.905 2.639 -0.797
Al 4.343 5.783 -2.329
Al 1.260 3.302 4.214
H 0.956 5.588 1.671
H 4.039 3.497 0.213
H 5.209 0.352 1.745
H 2.126 2.444 3.203
S 0.983 2.578 -0.218
S 4.065 0.218 5.166
S 5.183 3.362 3.634
S 2.100 5.723 -1.749
```

The total magnetization comes out at 0.000 μB/atom. Its space-group type is P2_1/c. The value obtained for the total energy is -0.159 hartree per atom.

---

Entry 7:
## Er3AgRh2 (PBE)

Data for a relaxed structure of Er3AgRh2.

```
6
Lattice="-0.675 3.325 -0.359 -0.647 -0.489 -3.314 -10.371 -1.859 2.299" Properties=species:S:1:pos:R:3 pbc="T T T"
Er 0.000 0.000 0.000
Er -7.138 -1.279 1.582
Er -3.234 -0.580 0.717
Ag -5.847 0.489 -0.687
Rh -9.359 -0.140 0.092
Rh -2.335 1.118 -1.465
```

The total magnetization comes out at 0.000 μB/atom. Its space-group type is P4/mmm. For the formation energy, the calculation gives -0.74 eV/atom. The value obtained for the total energy is -0.218 hartree per atom.

---

Entry 8:
## AcAlS (PBE)

Data for a relaxed structure of AcAlS.

```
6
Lattice="-0.974 1.338 3.830 0.516 -3.866 1.482 10.226 3.300 -0.825" Properties=species:S:1:pos:R:3 pbc="T T T"
Al 1.304 0.266 0.239
Al 8.463 0.507 4.249
Ac 2.970 -0.612 3.242
Ac 6.798 1.385 1.245
S 5.920 -0.011 3.783
S 3.847 0.784 0.705
```

The value obtained for the uncorrected formation energy is -2.64 eV per formula unit. The total magnetization comes out at 0.000 μB/atom. Its space-group type is I4/mmm. The value obtained for the total energy is -0.179 hartree per atom.